# 1
## Th4MnHg (PBE)

Data for Th4MnHg after structural relaxation.

Results
As for the crystal system: monoclinic. The value obtained for the density of states at the Fermi level is 13.0 states/eV/cell.

Unit cell a=7.7373 b=7.7373 c=6.1026 alpha=99.93 beta=99.93 gamma=109.81
Closest atoms and distances in Å follow each position.
Sites, in units of the cell vectors:
1 Th 0.0572 0.7154 0.9431  2 Mn 2.80-2.84
2 Th 0.1854 0.3715 0.6236  2 Mn 3.02-3.08, 1 Hg 3.22
3 Th 0.2846 0.9428 0.5569  2 Mn 2.80-2.84
4 Th 0.3715 0.1854 0.1236  2 Mn 3.02-3.08, 1 Hg 3.22
5 Th 0.6285 0.8146 0.8764  2 Mn 3.02-3.08, 1 Hg 3.22
6 Th 0.7154 0.0572 0.4431  2 Mn 2.80-2.84
7 Th 0.8146 0.6285 0.3764  2 Mn 3.02-3.08, 1 Hg 3.22
8 Th 0.9428 0.2846 0.0569  2 Mn 2.80-2.84
9 Mn 0.0049 0.9951 0.2500  8 Th 2.80-3.08, 2 Mn 3.05
10 Mn 0.9951 0.0049 0.7500  8 Th 2.80-3.08, 2 Mn 3.05
11 Hg 0.3873 0.6127 0.2500  8 Th 3.22-3.44
12 Hg 0.6127 0.3873 0.7500  8 Th 3.22-3.44

# 2
## Th2MnHg (PBE)

Data for Th2MnHg after structural relaxation.

Results
As for the crystal system: tetragonal. The value obtained for the density of states at the Fermi level is 4.2 states/eV/cell. The energy above the most stable polymorph in this dataset comes out at 0.000 eV per atom.

Unit cell a=3.3971 b=3.3971 c=8.5026 alpha=90.00 beta=90.00 gamma=90.00
Closest atoms and distances in Å follow each position.
Sites, in units of the cell vectors:
1 Th 0.0000 0.0000 0.2051  4 Mn 2.97
2 Th 0.0000 0.0000 0.7949  4 Mn 2.97
3 Mn 0.5000 0.5000 0.0000  8 Th 2.97
4 Hg 0.5000 0.5000 0.5000  4 Hg 3.40, 8 Th 3.47

# 3
## Th3MnHg (PBE)

Data for Th3MnHg after structural relaxation.

Results
As for the crystal system: cubic. The value obtained for the density of states at the Fermi level is 4.4 states/eV/cell. The energy above the most stable polymorph in this dataset comes out at 0.003 eV per atom.

Unit cell a=5.1951 b=5.1951 c=5.1951 alpha=90.00 beta=90.00 gamma=90.00
Closest atoms and distances in Å follow each position.
Sites, in units of the cell vectors:
1 Th 0.0000 0.0000 0.5000  2 Mn 2.60
2 Th 0.0000 0.5000 0.0000  2 Mn 2.60
3 Th 0.5000 0.0000 0.0000  2 Mn 2.60
4 Mn 0.0000 0.0000 0.0000  6 Th 2.60
5 Hg 0.5000 0.5000 0.5000  12 Th 3.67

| no. | V (Å³ per cell) | calculated formation energy (eV/atom) |
| --- | --- | --- |
| 1 | 327.9 | -0.0520 |
| 2 | 98.1 | 0.0082 |
| 3 | 140.2 | -0.0406 |